Record 1
This record from Alexandria via LeMat-Bulk describes a relaxed Dy8IrRu2 crystal. The functional is GGA-PBE.

a b c (Å): 9.032 9.032 6.822
angles (deg): 106.43 106.43 31.23
Sites, in units of the cell vectors:
Dy  0.032  0.032  0.291
Dy  0.205  0.205  0.815
Dy  0.332  0.332  0.535
Dy  0.405  0.405  0.050
Dy  0.595  0.595  0.950
Dy  0.668  0.668  0.465
Dy  0.795  0.795  0.185
Dy  0.968  0.968  0.709
Ir  0.500  0.500  0.500
Ru  0.186  0.186  0.201
Ru  0.814  0.814  0.799

Results
excess energy over the best structure of this formula in the dataset	0.0	kJ per mole of atoms
SG	No. 12



Record 2
This record from Alexandria via LeMat-Bulk describes a relaxed Dy8IrRu2 crystal. The functional is GGA-PBE.

a b c (Å): 7.537 7.537 5.964
angles (deg): 100.90 100.90 113.43
Sites, in units of the cell vectors:
Dy  0.000  0.000  0.000
Dy  0.024  0.283  0.587
Dy  0.146  0.568  0.190
Dy  0.283  0.024  0.587
Dy  0.440  0.702  0.780
Dy  0.568  0.146  0.190
Dy  0.702  0.440  0.780
Dy  0.716  0.716  0.377
Ir  0.355  0.355  0.347
Ru  0.053  0.674  0.684
Ru  0.674  0.053  0.684

Results
excess energy over the best structure of this formula in the dataset	5.0	kJ per mole of atoms
SG	No. 8



Record 3
This record from Alexandria via LeMat-Bulk describes a relaxed Dy6Ir3Ru crystal. The functional is GGA-PBE.

a b c (Å): 8.050 12.258 4.736
angles (deg): 90.00 90.00 90.00
Sites, in units of the cell vectors:
Dy  0.005  0.242  0.000
Dy  0.156  0.408  0.500
Dy  0.176  0.078  0.500
Dy  0.324  0.578  0.000
Dy  0.344  0.908  0.000
Dy  0.495  0.742  0.500
Dy  0.505  0.258  0.500
Dy  0.656  0.092  0.000
Dy  0.676  0.422  0.000
Dy  0.824  0.922  0.500
Dy  0.844  0.592  0.500
Dy  0.995  0.758  0.000
Ir  0.000  0.000  0.000
Ir  0.164  0.838  0.500
Ir  0.336  0.338  0.000
Ir  0.500  0.500  0.500
Ir  0.664  0.662  0.000
Ir  0.836  0.162  0.500
Ru  0.000  0.500  0.000
Ru  0.500  0.000  0.500

Results
SG	No. 58



Record 4
This record from Alexandria via LeMat-Bulk describes a relaxed Dy8IrRu5 crystal. The functional is GGA-PBE.

a b c (Å): 7.385 7.385 7.385
angles (deg): 109.52 109.52 109.37
Sites, in units of the cell vectors:
Dy  0.007  0.900  0.258
Dy  0.100  0.358  0.107
Dy  0.142  0.402  0.629
Dy  0.251  0.993  0.893
Dy  0.487  0.858  0.259
Dy  0.598  0.227  0.741
Dy  0.642  0.749  0.742
Dy  0.773  0.513  0.371
Ir  0.250  0.750  0.500
Ru  0.395  0.270  0.370
Ru  0.500  0.500  0.000
Ru  0.730  0.100  0.125
Ru  0.900  0.025  0.630
Ru  0.975  0.605  0.875

Results
SG	No. 82



Record 5
This record from Alexandria via LeMat-Bulk describes a relaxed Dy7Ir2Ru2 crystal. The functional is GGA-PBE.

a b c (Å): 6.499 6.499 6.846
angles (deg): 90.00 90.00 105.39
Sites, in units of the cell vectors:
Dy  0.000  0.000  0.000
Dy  0.000  0.500  0.273
Dy  0.000  0.500  0.727
Dy  0.500  0.000  0.273
Dy  0.500  0.000  0.727
Dy  0.500  0.500  0.260
Dy  0.500  0.500  0.740
Ir  0.283  0.717  0.000
Ir  0.717  0.283  0.000
Ru  0.177  0.177  0.500
Ru  0.823  0.823  0.500

Results
SG	No. 65



Record 6
This record from Alexandria via LeMat-Bulk describes a relaxed Dy4Ir3Ru crystal. The functional is GGA-PBE.

a b c (Å): 3.444 3.444 13.474
angles (deg): 90.00 90.00 90.00
Sites, in units of the cell vectors:
Dy  0.000  0.000  0.123
Dy  0.000  0.000  0.375
Dy  0.000  0.000  0.625
Dy  0.000  0.000  0.877
Ir  0.500  0.500  0.250
Ir  0.500  0.500  0.500
Ir  0.500  0.500  0.750
Ru  0.500  0.500  0.000

Results
SG	No. 123



Number 1: energy of formation from the pure elements -4.042 eV per formula unit, density 10.201 g cm⁻³. Number 2: energy of formation from the pure elements -3.469 eV per formula unit, density 9.642 g cm⁻³. Number 3: energy of formation from the pure elements -5.606 eV per formula unit, density 11.744 g cm⁻³. Number 4: energy of formation from the pure elements -3.750 eV per formula unit, density 10.698 g cm⁻³. Number 5: energy of formation from the pure elements -3.443 eV per formula unit, density 10.269 g cm⁻³. Number 6: energy of formation from the pure elements -5.541 eV per formula unit, density 13.792 g cm⁻³.